An optimized crystal structure of SiRu3. Source: Alexandria, functional PBE-GGA.

Values from the calculation:
V in Å³/cell: 54.54
Formation energy (no corrections) in eV per formula unit: -0.62

Cell: 2.7609 3.9484 5.1380 Å, 90.00 103.16 90.00°
Fractional coordinates of all 4 atoms:
Si  0.0000  0.0000  0.0000
Ru  0.0000  0.0000  0.5000
Ru  0.3761  0.5000  0.2394
Ru  0.6239  0.5000  0.7606


An optimized crystal structure of Si5Ru. Source: Alexandria, functional PBE-GGA.

Values from the calculation:
V in Å³/cell: 91.18
Formation energy (no corrections) in eV per formula unit: 0.46
Polymorph energy (0 for the lowest one) in meV/atom: 0

Cell: 5.9808 5.9808 6.0873 Å, 119.27 119.27 29.02°
Fractional coordinates of all 6 atoms:
Si  0.0000  0.0000  0.0000
Si  0.3048  0.3048  0.9061
Si  0.5170  0.5170  0.4050
Si  0.6998  0.6998  0.1003
Si  0.8904  0.8904  0.5455
Ru  0.1927  0.1927  0.4332


An optimized crystal structure of Si5Ru. Source: Alexandria, functional PBE-GGA.

Values from the calculation:
V in Å³/cell: 85.02
Formation energy (no corrections) in eV per formula unit: 1.10
Polymorph energy (0 for the lowest one) in meV/atom: 106

Cell: 2.8546 2.8546 10.4338 Å, 90.00 90.00 90.00°
Fractional coordinates of all 6 atoms:
Si  0.0000  0.0000  0.0000
Si  0.0000  0.0000  0.3542
Si  0.0000  0.0000  0.6458
Si  0.5000  0.5000  0.1745
Si  0.5000  0.5000  0.8255
Ru  0.5000  0.5000  0.5000


An optimized crystal structure of Si3Ru5. Source: Alexandria, functional PBE-GGA.

Values from the calculation:
V in Å³/cell: 211.11
Formation energy (no corrections) in eV per formula unit: -3.64
Polymorph energy (0 for the lowest one) in meV/atom: 0

Cell: 5.2906 9.8643 4.0451 Å, 90.00 90.00 90.00°
Fractional coordinates of all 16 atoms:
Si  0.0000  0.0000  0.0000
Si  0.1273  0.3614  0.5000
Si  0.3727  0.8614  0.5000
Si  0.5000  0.5000  0.0000
Si  0.6273  0.1386  0.5000
Si  0.8727  0.6386  0.5000
Ru  0.0000  0.5000  0.0000
Ru  0.1570  0.7733  0.0000
Ru  0.1662  0.1087  0.5000
Ru  0.3338  0.6087  0.5000
Ru  0.3430  0.2733  0.0000
Ru  0.5000  0.0000  0.0000
Ru  0.6570  0.7267  0.0000
Ru  0.6662  0.3913  0.5000
Ru  0.8338  0.8913  0.5000
Ru  0.8430  0.2267  0.0000


An optimized crystal structure of SiRu3. Source: Alexandria, functional PBE-GGA.

Values from the calculation:
V in Å³/cell: 54.28
Formation energy (no corrections) in eV per formula unit: -0.27

Cell: 2.7649 3.7023 5.3030 Å, 90.00 90.00 90.00°
Fractional coordinates of all 4 atoms:
Si  0.0000  0.0000  0.0000
Ru  0.0000  0.0000  0.5000
Ru  0.5000  0.5000  0.2428
Ru  0.5000  0.5000  0.7572


An optimized crystal structure of SiRu5. Source: Alexandria, functional PBE-GGA.

Values from the calculation:
V in Å³/cell: 82.69
Formation energy (no corrections) in eV per formula unit: -0.08
Polymorph energy (0 for the lowest one) in meV/atom: 87

Cell: 6.0934 6.0934 3.7750 Å, 90.00 90.00 143.85°
Fractional coordinates of all 6 atoms:
Si  0.0000  0.0000  0.0000
Ru  0.1663  0.8337  0.5000
Ru  0.3263  0.6737  0.0000
Ru  0.5000  0.5000  0.5000
Ru  0.6737  0.3263  0.0000
Ru  0.8337  0.1663  0.5000


An optimized crystal structure of Si3Ru. Source: Alexandria, functional PBE-GGA.

Values from the calculation:
V in Å³/cell: 53.67
Formation energy (no corrections) in eV per formula unit: 0.31

Cell: 2.9587 3.5474 5.1133 Å, 90.00 90.00 90.00°
Fractional coordinates of all 4 atoms:
Si  0.0000  0.0000  0.0000
Si  0.5000  0.5000  0.2474
Si  0.5000  0.5000  0.7526
Ru  0.0000  0.0000  0.5000


An optimized crystal structure of SiRu3. Source: Alexandria, functional PBE-GGA.

Values from the calculation:
V in Å³/cell: 108.88
Formation energy (no corrections) in eV per formula unit: -0.23

Cell: 8.0544 8.0544 8.0544 Å, 152.82 152.82 38.82°
Fractional coordinates of all 8 atoms:
Si  0.1175  0.1175  0.0000
Si  0.8825  0.8825  0.0000
Ru  0.0000  0.5000  0.5000
Ru  0.2500  0.7500  0.5000
Ru  0.3720  0.3720  0.0000
Ru  0.5000  0.0000  0.5000
Ru  0.6280  0.6280  0.0000
Ru  0.7500  0.2500  0.5000


An optimized crystal structure of Si5Ru. Source: Alexandria, functional PBE-GGA.

Values from the calculation:
V in Å³/cell: 82.16
Formation energy (no corrections) in eV per formula unit: 1.44
Polymorph energy (0 for the lowest one) in meV/atom: 163

Cell: 4.6228 4.6228 4.4394 Å, 90.00 90.00 120.00°
Fractional coordinates of all 6 atoms:
Si  0.0000  0.6740  0.0000
Si  0.3260  0.3260  0.0000
Si  0.3333  0.6667  0.5000
Si  0.6667  0.3333  0.5000
Si  0.6740  0.0000  0.0000
Ru  0.0000  0.0000  0.5000


An optimized crystal structure of Si3Ru. Source: Alexandria, functional PBE-GGA.

Values from the calculation:
V in Å³/cell: 116.78
Formation energy (no corrections) in eV per formula unit: 0.07

Cell: 9.8440 9.8440 9.8440 Å, 159.51 159.51 29.13°
Fractional coordinates of all 8 atoms:
Si  0.0000  0.5000  0.5000
Si  0.1107  0.1107  0.0000
Si  0.2500  0.7500  0.5000
Si  0.5000  0.0000  0.5000
Si  0.7500  0.2500  0.5000
Si  0.8893  0.8893  0.0000
Ru  0.3366  0.3366  0.0000
Ru  0.6634  0.6634  0.0000


An optimized crystal structure of SmSi3Ru2. Source: Alexandria, functional PBE-GGA.

Values from the calculation:
V in Å³/cell: 197.87
Formation energy (no corrections) in eV per formula unit: -4.24

Cell: 6.0243 6.0243 5.6070 Å, 90.00 90.00 76.50°
Fractional coordinates of all 12 atoms:
Sm  0.1615  0.8385  0.7500
Sm  0.8385  0.1615  0.2500
Si  0.0351  0.6108  0.2500
Si  0.3892  0.9649  0.2500
Si  0.4388  0.5612  0.2500
Si  0.5612  0.4388  0.7500
Si  0.6108  0.0351  0.7500
Si  0.9649  0.3892  0.7500
Ru  0.2961  0.2961  0.0000
Ru  0.2961  0.2961  0.5000
Ru  0.7039  0.7039  0.0000
Ru  0.7039  0.7039  0.5000


An optimized crystal structure of SmSi3Ru5. Source: Alexandria, functional PBE-GGA.

Values from the calculation:
V in Å³/cell: 295.02
Formation energy (no corrections) in eV per formula unit: -4.12

Cell: 6.6947 6.6947 11.4681 Å, 90.00 90.00 144.97°
Fractional coordinates of all 18 atoms:
Sm  0.1821  0.8179  0.7500
Sm  0.8179  0.1821  0.2500
Si  0.1160  0.8840  0.2500
Si  0.3748  0.6252  0.0460
Si  0.3748  0.6252  0.4540
Si  0.6252  0.3748  0.5460
Si  0.6252  0.3748  0.9540
Si  0.8840  0.1160  0.7500
Ru  0.0000  0.0000  0.0000
Ru  0.0000  0.0000  0.5000
Ru  0.1941  0.8059  0.0634
Ru  0.1941  0.8059  0.4366
Ru  0.4564  0.5436  0.6439
Ru  0.4564  0.5436  0.8561
Ru  0.5436  0.4564  0.1439
Ru  0.5436  0.4564  0.3561
Ru  0.8059  0.1941  0.5634
Ru  0.8059  0.1941  0.9366


An optimized crystal structure of SmSi3Ru3. Source: Alexandria, functional PBE-GGA.

Values from the calculation:
V in Å³/cell: 256.86
Formation energy (no corrections) in eV per formula unit: -2.68
Polymorph energy (0 for the lowest one) in meV/atom: 0

Cell: 7.8022 7.8022 7.8022 Å, 50.05 50.05 50.05°
Fractional coordinates of all 14 atoms:
Sm  0.1666  0.1666  0.1666
Sm  0.8334  0.8334  0.8334
Si  0.1587  0.6782  0.3797
Si  0.3218  0.6203  0.8413
Si  0.3797  0.1587  0.6782
Si  0.6203  0.8413  0.3218
Si  0.6782  0.3797  0.1587
Si  0.8413  0.3218  0.6203
Ru  0.0248  0.5824  0.2525
Ru  0.2525  0.0248  0.5824
Ru  0.4176  0.7475  0.9751
Ru  0.5824  0.2525  0.0248
Ru  0.7475  0.9752  0.4176
Ru  0.9752  0.4176  0.7475